(1)
KYZr: relaxed, GGA-PBE.

Structure (POSCAR):
```
KYZr
1.0
3.497 0.000 0.000
1.744 6.090 0.000
1.735 2.418 10.208
K Y Zr
2 2 2
direct
0.000 0.000 0.000
0.314 0.550 0.827
0.663 0.124 0.553
0.953 0.620 0.477
0.329 0.035 0.306
0.638 0.470 0.253
```

Properties
ΔH_f (0 K)	0.43	eV per atom
DFT total energy	-4.94	eV per atom
energy above the most stable polymorph in this dataset	0.79	eV per formula unit
magnetic moment	0.000	μB/f.u.



(2)
RbMnAgBr4: relaxed, GGA-PBE.

Structure (POSCAR):
```
RbMnAgBr4
1.0
6.660 0.000 0.000
0.000 7.805 0.000
-2.402 0.000 9.148
Rb Mn Ag Br
2 2 2 8
direct
0.247 0.250 0.068
0.753 0.750 0.932
0.215 0.750 0.319
0.785 0.250 0.681
0.141 0.250 0.514
0.859 0.750 0.486
0.043 0.005 0.711
0.043 0.495 0.711
0.326 0.750 0.087
0.488 0.750 0.552
0.512 0.250 0.448
0.674 0.250 0.913
0.957 0.505 0.289
0.957 0.995 0.289
```

Properties
formation energy (no corrections)	-930	meV per atom
DFT total energy	-3.74	eV per atom
magnetic moment	4.999	μB/f.u.



(3)
Sn3SbW: relaxed, GGA-PBE.

Structure (POSCAR):
```
Sn3SbW
1.0
5.321 0.000 0.000
0.000 5.321 0.000
0.000 0.000 5.321
Sn Sb W
3 1 1
direct
0.000 0.000 0.500
0.000 0.500 0.000
0.500 0.000 0.000
0.500 0.500 0.500
0.000 0.000 0.000
```

Properties
formation energy (no corrections)	637	meV per atom
DFT total energy	-5.18	eV per atom
energy above the most stable polymorph in this dataset	0.00	eV per formula unit
magnetic moment	2.468	μB/f.u.



(4)
SrLiTlHg2: relaxed, GGA-PBE.

Structure (POSCAR):
```
SrLiTlHg2
1.0
6.045 0.000 0.000
0.000 7.076 0.000
0.000 0.000 6.278
Sr Li Tl Hg
2 2 2 4
direct
0.250 0.000 0.250
0.750 0.000 0.750
0.000 0.500 0.000
0.500 0.500 0.000
0.250 0.500 0.385
0.750 0.500 0.615
0.250 0.224 0.769
0.250 0.776 0.769
0.750 0.224 0.231
0.750 0.776 0.231
```

Properties
ΔH_f (0 K)	-0.35	eV per atom
DFT total energy	-1.67	eV per atom
energy above the most stable polymorph in this dataset	0.00	eV per formula unit
magnetic moment	0.000	μB/f.u.



(5)
SrIn3: relaxed, GGA-PBE.

Structure (POSCAR):
```
SrIn3
1.0
1.868 1.079 10.415
-1.868 1.079 10.415
0.000 -2.157 10.415
Sr In
1 3
direct
0.000 0.000 0.000
0.246 0.246 0.246
0.500 0.500 0.500
0.754 0.754 0.754
```

Properties
ΔH_f (0 K)	-0.05	eV per atom
DFT total energy	-2.52	eV per atom
magnetic moment	0.000	μB/f.u.



(6)
CaZnPb3: relaxed, GGA-PBE.

Structure (POSCAR):
```
CaZnPb3
1.0
5.922 0.000 0.000
0.000 5.922 0.000
0.000 0.000 5.922
Ca Zn Pb
1 1 3
direct
0.000 0.000 0.000
0.500 0.500 0.500
0.000 0.000 0.500
0.000 0.500 0.000
0.500 0.000 0.000
```

Properties
ΔH_f (0 K)	0.67	eV per atom
DFT total energy	-2.21	eV per atom
energy above the most stable polymorph in this dataset	3.06	eV per formula unit
magnetic moment	0.000	μB/f.u.



(7)
NaSmMgCl6: relaxed, GGA-PBE.

Structure (POSCAR):
```
NaSmMgCl6
1.0
6.771 0.000 0.000
-3.385 5.863 0.000
0.000 0.000 12.477
Na Sm Mg Cl
2 2 2 12
direct
0.000 0.000 0.000
0.000 0.000 0.500
0.333 0.667 0.250
0.667 0.333 0.750
0.333 0.667 0.750
0.667 0.333 0.250
0.021 0.367 0.633
0.021 0.654 0.867
0.346 0.367 0.867
0.346 0.979 0.633
0.367 0.021 0.133
0.367 0.346 0.367
0.633 0.654 0.633
0.633 0.979 0.867
0.654 0.021 0.367
0.654 0.633 0.133
0.979 0.346 0.133
0.979 0.633 0.367
```

Properties
formation energy (no corrections)	-2026	meV per atom
DFT total energy	-4.11	eV per atom
magnetic moment	0.000	μB/f.u.



(8)
ScTaCo4: relaxed, GGA-PBE.

Structure (POSCAR):
```
ScTaCo4
1.0
0.000 3.385 3.385
3.385 0.000 3.385
3.385 3.385 0.000
Sc Ta Co
1 1 4
direct
0.000 0.000 0.000
0.250 0.250 0.250
0.124 0.625 0.625
0.625 0.124 0.625
0.625 0.625 0.124
0.625 0.625 0.625
```

Properties
ΔH_f (0 K)	-0.24	eV per atom
DFT total energy	-8.01	eV per atom
energy above the most stable polymorph in this dataset	0.00	eV per formula unit
magnetic moment	0.096	μB/f.u.



(9)
DyInIrO6: relaxed, GGA-PBE.

Structure (POSCAR):
```
DyInIrO6
1.0
5.477 0.000 0.000
-2.738 4.743 0.000
0.000 0.000 9.021
Dy In Ir O
2 2 2 12
direct
0.333 0.667 0.250
0.667 0.333 0.750
0.000 0.000 0.000
0.000 0.000 0.500
0.333 0.667 0.750
0.667 0.333 0.250
0.040 0.367 0.628
0.040 0.673 0.872
0.327 0.367 0.872
0.327 0.960 0.628
0.367 0.040 0.128
0.367 0.327 0.372
0.633 0.673 0.628
0.633 0.960 0.872
0.673 0.040 0.372
0.673 0.633 0.128
0.960 0.327 0.128
0.960 0.633 0.372
```

Properties
formation energy (no corrections)	-1586	meV per atom
DFT total energy	-6.69	eV per atom
magnetic moment	2.440	μB/f.u.



(10)
TaCo: relaxed, GGA-PBE.

Structure (POSCAR):
```
TaCo
1.0
-3.799 3.799 3.799
3.799 -3.799 3.799
3.799 3.799 -3.799
Ta Co
4 4
direct
0.000 0.000 0.276
0.000 0.276 0.000
0.276 0.000 0.000
0.724 0.724 0.724
0.000 0.000 0.659
0.000 0.659 0.000
0.341 0.341 0.341
0.659 0.000 0.000
```

Properties
ΔH_f (0 K)	1.37	eV per atom
DFT total energy	-8.10	eV per atom
magnetic moment	0.000	μB/f.u.



(11)
Li2UWN4: relaxed, GGA-PBE.

Structure (POSCAR):
```
Li2UWN4
1.0
1.616 -6.136 0.000
1.616 6.136 0.000
0.000 0.000 9.346
Li U W N
4 2 2 8
direct
0.090 0.910 0.539
0.090 0.910 0.961
0.910 0.090 0.039
0.910 0.090 0.461
0.453 0.547 0.750
0.547 0.453 0.250
0.283 0.717 0.250
0.717 0.283 0.750
0.102 0.898 0.750
0.182 0.818 0.112
0.182 0.818 0.388
0.500 0.500 0.000
0.500 0.500 0.500
0.818 0.182 0.612
0.818 0.182 0.888
0.898 0.102 0.250
```

Properties
formation energy (no corrections)	-481	meV per atom
DFT total energy	-8.15	eV per atom
magnetic moment	1.141	μB/f.u.



(12)
Cs12Ge3I5: relaxed, GGA-PBE.

Structure (POSCAR):
```
Cs12Ge3I5
1.0
-11.244 11.244 11.244
11.244 -11.244 11.244
11.244 11.244 -11.244
Cs Ge I
48 12 20
direct
0.060 0.228 0.142
0.060 0.332 0.918
0.082 0.642 0.414
0.082 0.940 0.668
0.086 0.728 0.668
0.086 0.858 0.418
0.142 0.060 0.228
0.142 0.582 0.914
0.168 0.228 0.586
0.168 0.440 0.582
0.228 0.142 0.060
0.228 0.586 0.168
0.272 0.332 0.914
0.272 0.440 0.358
0.332 0.914 0.272
0.332 0.918 0.060
0.358 0.272 0.440
0.358 0.586 0.918
0.414 0.082 0.642
0.414 0.832 0.772
0.418 0.086 0.858
0.418 0.832 0.560
0.440 0.358 0.272
0.440 0.582 0.168
0.560 0.418 0.832
0.560 0.642 0.728
0.582 0.168 0.440
0.582 0.914 0.142
0.586 0.168 0.228
0.586 0.918 0.358
0.642 0.414 0.082
0.642 0.728 0.560
0.668 0.082 0.940
0.668 0.086 0.728
0.728 0.560 0.642
0.728 0.668 0.086
0.772 0.414 0.832
0.772 0.858 0.940
0.832 0.560 0.418
0.832 0.772 0.414
0.858 0.418 0.086
0.858 0.940 0.772
0.914 0.142 0.582
0.914 0.272 0.332
0.918 0.060 0.332
0.918 0.358 0.586
0.940 0.668 0.082
0.940 0.772 0.858
0.125 0.250 0.375
0.125 0.375 0.750
0.250 0.375 0.125
0.250 0.875 0.625
0.375 0.125 0.250
0.375 0.750 0.125
0.625 0.250 0.875
0.625 0.875 0.750
0.750 0.125 0.375
0.750 0.625 0.875
0.875 0.625 0.250
0.875 0.750 0.625
0.000 0.000 0.000
0.000 0.000 0.500
0.000 0.500 0.000
0.000 0.500 0.500
0.125 0.750 0.875
0.125 0.875 0.250
0.250 0.125 0.875
0.250 0.625 0.375
0.375 0.250 0.625
0.375 0.625 0.750
0.500 0.000 0.000
0.500 0.000 0.500
0.500 0.500 0.000
0.500 0.500 0.500
0.625 0.375 0.250
0.625 0.750 0.375
0.750 0.375 0.625
0.750 0.875 0.125
0.875 0.125 0.750
0.875 0.250 0.125
```

Properties
formation energy (no corrections)	-605	meV per atom
DFT total energy	-2.20	eV per atom
magnetic moment	5.006	μB/f.u.



Q: The highest DFT total energy belongs to which entry?
A: SrLiTlHg2



Q: Number 12 is which compound?
A: Cs12Ge3I5



Q: Which of these has the highest magnetic moment?
A: Cs12Ge3I5